Record 1
# Zn4NiAs PBE-GGA optimized geometry
# **Total magnetic moment**: 0.00 μB per atom
# **Crystal system**: cubic
# **DFT formation energy**: 17 kJ/mol of atoms
# **Raw total energy**: -2.410 eV/atom
data_Zn4NiAs
_cell_length_a 7.132
_cell_length_b 7.132
_cell_length_c 7.132
_cell_angle_alpha 90.00
_cell_angle_beta 90.00
_cell_angle_gamma 90.00
_space_group_name_H-M_alt 'F -4 3 m'
_space_group_IT_number 216
_space_group_name_Hall 'F -4 2 3'
loop_
_atom_site_label
_atom_site_fract_x
_atom_site_fract_y
_atom_site_fract_z
_atom_site_occupancy
Zn1 0.124 0.124 0.376 1
Ni1 0.250 0.250 0.750 1
As1 0.000 0.000 0.000 1



Record 2
# ZnNi6As PBE-GGA optimized geometry
# **Total magnetic moment**: 0.13 μB per atom
# **Crystal system**: orthorhombic
# **DFT formation energy**: -15 kJ/mol of atoms
# **Raw total energy**: -5.235 eV/atom
data_ZnNi6As
_cell_length_a 7.171
_cell_length_b 10.138
_cell_length_c 10.114
_cell_angle_alpha 90.00
_cell_angle_beta 90.00
_cell_angle_gamma 90.00
_space_group_name_H-M_alt 'C m m m'
_space_group_IT_number 65
_space_group_name_Hall '-C 2 2'
loop_
_atom_site_label
_atom_site_fract_x
_atom_site_fract_y
_atom_site_fract_z
_atom_site_occupancy
Zn1 0.000 0.000 0.247 1
Zn2 0.000 0.247 0.000 1
Ni1 0.000 0.000 0.000 1
Ni2 0.000 0.000 0.500 1
Ni3 0.000 0.248 0.252 1
Ni4 0.000 0.500 0.000 1
Ni5 0.000 0.500 0.500 1
Ni6 0.247 0.376 0.375 1
Ni7 0.248 0.374 0.126 1
As1 0.000 0.247 0.500 1
As2 0.000 0.500 0.243 1



Record 3
# ZnNiAs2 PBE-GGA optimized geometry
# **Total magnetic moment**: 0.00 μB per atom
# **Crystal system**: tetragonal
# **DFT formation energy**: -1 kJ/mol of atoms
# **Raw total energy**: -4.101 eV/atom
data_ZnNiAs2
_cell_length_a 2.900
_cell_length_b 2.900
_cell_length_c 7.868
_cell_angle_alpha 90.00
_cell_angle_beta 90.00
_cell_angle_gamma 90.00
_space_group_name_H-M_alt 'P 4 m m'
_space_group_IT_number 99
loop_
_space_group_symop_operation_xyz
'x,y,z'
'-y,x,z'
'-x,-y,z'
'y,-x,z'
'-x,y,z'
'y,x,z'
'x,-y,z'
'-y,-x,z'
loop_
_atom_site_label
_atom_site_fract_x
_atom_site_fract_y
_atom_site_fract_z
_atom_site_occupancy
Zn1 0.000 0.000 0.000 1
Ni1 0.500 0.500 0.795 1
As1 0.000 0.000 0.622 1
As2 0.500 0.500 0.244 1



Record 4
# ZnNi7As2 PBE-GGA optimized geometry
# **Total magnetic moment**: 0.00 μB per atom
# **Crystal system**: tetragonal
# **DFT formation energy**: -18 kJ/mol of atoms
# **Raw total energy**: -5.292 eV/atom
data_ZnNi7As2
_cell_length_a 3.679
_cell_length_b 3.679
_cell_length_c 18.808
_cell_angle_alpha 90.00
_cell_angle_beta 90.00
_cell_angle_gamma 90.00
_space_group_name_H-M_alt 'I 4/m m m'
_space_group_IT_number 139
_space_group_name_Hall '-I 4 2'
loop_
_atom_site_label
_atom_site_fract_x
_atom_site_fract_y
_atom_site_fract_z
_atom_site_occupancy
Zn1 0.000 0.000 0.000 1
Ni1 0.000 0.000 0.500 1
Ni2 0.000 0.500 0.093 1
Ni3 0.000 0.500 0.250 1
As1 0.000 0.000 0.330 1



Record 5
# ZnNiAs2 PBE-GGA optimized geometry
# **Total magnetic moment**: 0.00 μB per atom
# **Crystal system**: trigonal
# **DFT formation energy**: 10 kJ/mol of atoms
# **Raw total energy**: -3.985 eV/atom
data_ZnNiAs2
_cell_length_a 2.9500
_cell_length_b 2.9500
_cell_length_c 26.9410
_cell_angle_alpha 90.00
_cell_angle_beta 90.00
_cell_angle_gamma 120.00
_space_group_name_H-M_alt 'R 3 m'
_space_group_IT_number 160
_space_group_name_Hall 'R 3 -2"'
loop_
_atom_site_label
_atom_site_fract_x
_atom_site_fract_y
_atom_site_fract_z
_atom_site_occupancy
Zn1 0.0000 0.0000 0.0000 1
Ni1 0.0000 0.0000 0.2607 1
As1 0.0000 0.0000 0.5319 1
As2 0.0000 0.0000 0.7470 1



Record 6
# ZnNiAs2 PBE-GGA optimized geometry
# **Total magnetic moment**: 0.00 μB per atom
# **Crystal system**: trigonal
# **DFT formation energy**: -5 kJ/mol of atoms
# **Raw total energy**: -4.144 eV/atom
data_ZnNiAs2
_cell_length_a 3.6064
_cell_length_b 3.6064
_cell_length_c 17.9844
_cell_angle_alpha 90.00
_cell_angle_beta 90.00
_cell_angle_gamma 120.00
_space_group_name_H-M_alt 'R -3 m'
_space_group_IT_number 166
_space_group_name_Hall '-R 3 2"'
loop_
_atom_site_label
_atom_site_fract_x
_atom_site_fract_y
_atom_site_fract_z
_atom_site_occupancy
Zn1 0.0000 0.0000 0.0000 1
Ni1 0.0000 0.0000 0.5000 1
As1 0.0000 0.0000 0.2349 1



Record 7
# ZnNiAs2 PBE-GGA optimized geometry
# **Total magnetic moment**: 0.00 μB per atom
# **Crystal system**: tetragonal
# **DFT formation energy**: 12 kJ/mol of atoms
# **Raw total energy**: -3.963 eV/atom
data_ZnNiAs2
_cell_length_a 3.455
_cell_length_b 3.455
_cell_length_c 5.372
_cell_angle_alpha 90.00
_cell_angle_beta 90.00
_cell_angle_gamma 90.00
_space_group_name_H-M_alt 'P 4/m m m'
_space_group_IT_number 123
_space_group_name_Hall '-P 4 2'
loop_
_atom_site_label
_atom_site_fract_x
_atom_site_fract_y
_atom_site_fract_z
_atom_site_occupancy
Zn1 0.000 0.000 0.000 1
Ni1 0.000 0.000 0.500 1
As1 0.500 0.500 0.273 1



Record 8
# ZnNiAs2 PBE-GGA optimized geometry
# **Total magnetic moment**: 0.00 μB per atom
# **Crystal system**: orthorhombic
# **DFT formation energy**: -5 kJ/mol of atoms
# **Raw total energy**: -4.145 eV/atom
data_ZnNiAs2
_cell_length_a 4.363
_cell_length_b 4.306
_cell_length_c 7.681
_cell_angle_alpha 90.00
_cell_angle_beta 90.00
_cell_angle_gamma 90.00
_space_group_name_H-M_alt 'A m m 2'
_space_group_IT_number 38
loop_
_space_group_symop_operation_xyz
'x,y,z'
'-x,-y,z'
'-x,y,z'
'x,-y,z'
'x,y+1/2,z+1/2'
'-x,-y+1/2,z+1/2'
'-x,y+1/2,z+1/2'
'x,-y+1/2,z+1/2'
loop_
_atom_site_label
_atom_site_fract_x
_atom_site_fract_y
_atom_site_fract_z
_atom_site_occupancy
Zn1 0.000 0.000 0.000 1
Ni1 0.500 0.000 0.171 1
As1 0.000 0.000 0.320 1
As2 0.500 0.000 0.820 1



Record 9
# ZnNiAs4 PBE-GGA optimized geometry
# **Total magnetic moment**: 0.00 μB per atom
# **Crystal system**: cubic
# **DFT formation energy**: 60 kJ/mol of atoms
# **Raw total energy**: -3.649 eV/atom
data_ZnNiAs4
_cell_length_a 7.709
_cell_length_b 7.709
_cell_length_c 7.709
_cell_angle_alpha 90.00
_cell_angle_beta 90.00
_cell_angle_gamma 90.00
_space_group_name_H-M_alt 'F -4 3 m'
_space_group_IT_number 216
_space_group_name_Hall 'F -4 2 3'
loop_
_atom_site_label
_atom_site_fract_x
_atom_site_fract_y
_atom_site_fract_z
_atom_site_occupancy
Zn1 0.000 0.000 0.000 1
Ni1 0.250 0.250 0.250 1
As1 0.126 0.126 0.626 1



Record 10
# ZnNi8As2 PBE-GGA optimized geometry
# **Total magnetic moment**: 0.00 μB per atom
# **Crystal system**: orthorhombic
# **DFT formation energy**: -18 kJ/mol of atoms
# **Raw total energy**: -5.349 eV/atom
data_ZnNi8As2
_cell_length_a 3.717
_cell_length_b 6.536
_cell_length_c 10.858
_cell_angle_alpha 90.00
_cell_angle_beta 90.00
_cell_angle_gamma 90.00
_space_group_name_H-M_alt 'I m m m'
_space_group_IT_number 71
_space_group_name_Hall '-I 2 2'
loop_
_atom_site_label
_atom_site_fract_x
_atom_site_fract_y
_atom_site_fract_z
_atom_site_occupancy
Zn1 0.000 0.000 0.000 1
Ni1 0.000 0.206 0.500 1
Ni2 0.000 0.272 0.164 1
Ni3 0.000 0.500 0.351 1
As1 0.000 0.000 0.318 1



Record 11
# ZnNi3As PBE-GGA optimized geometry
# **Total magnetic moment**: 0.00 μB per atom
# **Crystal system**: cubic
# **DFT formation energy**: 35 kJ/mol of atoms
# **Raw total energy**: -4.292 eV/atom
data_ZnNi3As
_cell_length_a 4.316
_cell_length_b 4.316
_cell_length_c 4.316
_cell_angle_alpha 90.00
_cell_angle_beta 90.00
_cell_angle_gamma 90.00
_space_group_name_H-M_alt 'P m -3 m'
_space_group_IT_number 221
_space_group_name_Hall '-P 4 2 3'
loop_
_atom_site_label
_atom_site_fract_x
_atom_site_fract_y
_atom_site_fract_z
_atom_site_occupancy
Zn1 0.000 0.000 0.000 1
Ni1 0.000 0.500 0.500 1
As1 0.500 0.500 0.500 1



Record 12
# ZnNiAs2 PBE-GGA optimized geometry
# **Total magnetic moment**: 0.00 μB per atom
# **Crystal system**: monoclinic
# **DFT formation energy**: 15 kJ/mol of atoms
# **Raw total energy**: -3.938 eV/atom
data_ZnNiAs2
_cell_length_a 5.325
_cell_length_b 6.969
_cell_length_c 3.494
_cell_angle_alpha 90.00
_cell_angle_beta 100.30
_cell_angle_gamma 90.00
_space_group_name_H-M_alt 'C 1 2/m 1'
_space_group_IT_number 12
loop_
_space_group_symop_operation_xyz
'x,y,z'
'-x,-y,-z'
'-x,y,-z'
'x,-y,z'
'x+1/2,y+1/2,z'
'-x+1/2,-y+1/2,-z'
'-x+1/2,y+1/2,-z'
'x+1/2,-y+1/2,z'
loop_
_atom_site_label
_atom_site_fract_x
_atom_site_fract_y
_atom_site_fract_z
_atom_site_occupancy
Zn1 0.000 0.000 0.000 1
Ni1 0.000 0.500 0.000 1
As1 0.250 0.250 0.500 1